Entry 1:
Material: NbFeIr2
Method: DFT, PBE
State: optimized geometry

Output
* energy of formation from the pure elements: -18 meV/atom
* total DFT energy (no corrections): -144.74 eV per cell

a b c (Å): 6.211 6.211 6.211
angles (deg): 90.00 90.00 90.00
Space group F-43m (No. 216)
Inequivalent atoms, fractional coordinates:
Nb 0.000 0.000 0.000 [4 per cell]
Fe 0.250 0.250 0.250 [4 per cell]
Ir 0.000 0.000 0.500 [4 per cell]
Ir 0.250 0.250 0.750 [4 per cell]

=====

Entry 2:
Material: Nb2FeIr3
Method: DFT, PBE
State: optimized geometry

Output
* energy of formation from the pure elements: -282 meV/atom
* total DFT energy (no corrections): -113.50 eV per cell

a b c (Å): 5.1741 5.1741 7.9163
angles (deg): 90.00 90.00 120.00
Space group P6_3/mmc (No. 194)
Inequivalent atoms, fractional coordinates:
Nb 0.3333 0.6667 0.0715 [4 per cell]
Fe 0.0000 0.0000 0.0000 [2 per cell]
Ir 0.1692 0.3384 0.7500 [6 per cell]

=====

Entry 3:
Material: Nb2FeIr5
Method: DFT, PBE
State: optimized geometry

Output
* energy of formation from the pure elements: -492 meV/atom
* total DFT energy (no corrections): -153.42 eV per cell

a b c (Å): 4.446 5.545 9.593
angles (deg): 90.00 90.00 90.00
Space group Amm2 (No. 38)
Inequivalent atoms, fractional coordinates:
Nb 0.000 0.000 0.000 [2 per cell]
Nb 0.500 0.000 0.335 [2 per cell]
Fe 0.500 0.000 0.831 [2 per cell]
Ir 0.000 0.000 0.506 [2 per cell]
Ir 0.000 0.243 0.753 [4 per cell]
Ir 0.500 0.246 0.586 [4 per cell]

=====

Entry 4:
Material: NbFeIrPb
Method: DFT, PBE
State: optimized geometry

Output
* distance to the lowest polymorph of the same formula: 0 meV/atom
* total DFT energy (no corrections): -120.70 eV per cell

a b c (Å): 6.466 6.466 6.466
angles (deg): 90.00 90.00 90.00
Space group F-43m (No. 216)
Inequivalent atoms, fractional coordinates:
Nb 0.000 0.000 0.000 [4 per cell]
Fe 0.250 0.250 0.750 [4 per cell]
Ir 0.250 0.250 0.250 [4 per cell]
Pb 0.000 0.000 0.500 [4 per cell]

=====

Entry 5:
Material: NbFeIrPb
Method: DFT, PBE
State: optimized geometry

Output
* distance to the lowest polymorph of the same formula: 162 meV/atom
* total DFT energy (no corrections): -118.11 eV per cell

a b c (Å): 6.498 6.498 6.498
angles (deg): 90.00 90.00 90.00
Space group F-43m (No. 216)
Inequivalent atoms, fractional coordinates:
Nb 0.000 0.000 0.000 [4 per cell]
Fe 0.000 0.000 0.500 [4 per cell]
Ir 0.250 0.250 0.750 [4 per cell]
Pb 0.250 0.250 0.250 [4 per cell]

=====

Entry 6:
Material: NbFeSiIr
Method: DFT, PBE
State: optimized geometry

Output
* distance to the lowest polymorph of the same formula: 0 meV/atom
* total DFT energy (no corrections): -136.00 eV per cell

a b c (Å): 6.089 6.089 6.089
angles (deg): 90.00 90.00 90.00
Space group F-43m (No. 216)
Inequivalent atoms, fractional coordinates:
Nb 0.000 0.000 0.000 [4 per cell]
Fe 0.250 0.250 0.750 [4 per cell]
Si 0.000 0.000 0.500 [4 per cell]
Ir 0.250 0.250 0.250 [4 per cell]

=====

Entry 7:
Material: NbFeSiIr
Method: DFT, PBE
State: optimized geometry

Output
* distance to the lowest polymorph of the same formula: 202 meV/atom
* total DFT energy (no corrections): -132.76 eV per cell

a b c (Å): 6.138 6.138 6.138
angles (deg): 90.00 90.00 90.00
Space group F-43m (No. 216)
Inequivalent atoms, fractional coordinates:
Nb 0.000 0.000 0.000 [4 per cell]
Fe 0.000 0.000 0.500 [4 per cell]
Si 0.250 0.250 0.250 [4 per cell]
Ir 0.250 0.250 0.750 [4 per cell]

=====

Entry 8:
Material: NbTlFeIr
Method: DFT, PBE
State: optimized geometry

Output
* distance to the lowest polymorph of the same formula: 0 meV/atom
* total DFT energy (no corrections): -115.57 eV per cell

a b c (Å): 6.412 6.412 6.412
angles (deg): 90.00 90.00 90.00
Space group F-43m (No. 216)
Inequivalent atoms, fractional coordinates:
Nb 0.000 0.000 0.000 [4 per cell]
Tl 0.000 0.000 0.500 [4 per cell]
Fe 0.250 0.250 0.750 [4 per cell]
Ir 0.250 0.250 0.250 [4 per cell]

=====

Entry 9:
Material: NbTlFeIr
Method: DFT, PBE
State: optimized geometry

Output
* distance to the lowest polymorph of the same formula: 181 meV/atom
* total DFT energy (no corrections): -112.68 eV per cell

a b c (Å): 6.471 6.471 6.471
angles (deg): 90.00 90.00 90.00
Space group F-43m (No. 216)
Inequivalent atoms, fractional coordinates:
Nb 0.000 0.000 0.000 [4 per cell]
Tl 0.250 0.250 0.250 [4 per cell]
Fe 0.000 0.000 0.500 [4 per cell]
Ir 0.250 0.250 0.750 [4 per cell]

=====

Entry 10:
Material: NdFeIr
Method: DFT, PBE
State: optimized geometry

Output
* energy of formation from the pure elements: 142 meV/atom
* total DFT energy (no corrections): -86.00 eV per cell

a b c (Å): 6.493 6.493 6.493
angles (deg): 90.00 90.00 90.00
Space group F-43m (No. 216)
Inequivalent atoms, fractional coordinates:
Nd 0.000 0.000 0.000 [4 per cell]
Fe 0.000 0.000 0.500 [4 per cell]
Ir 0.250 0.250 0.250 [4 per cell]

=====

Entry 11:
Material: NdFeSi2Ir
Method: DFT, PBE
State: optimized geometry

Output
* total DFT energy (no corrections): -74.12 eV per cell

a b c (Å): 4.074 4.074 9.953
angles (deg): 90.00 90.00 90.00
Space group I-4m2 (No. 119)
Inequivalent atoms, fractional coordinates:
Nd 0.000 0.000 0.000 [2 per cell]
Fe 0.000 0.500 0.750 [2 per cell]
Si 0.000 0.000 0.369 [4 per cell]
Ir 0.000 0.500 0.250 [2 per cell]

=====

Entry 12:
Material: Fe6NiIr
Method: DFT, PBE
State: optimized geometry

Output
* energy of formation from the pure elements: -6 meV/atom
* total DFT energy (no corrections): -64.32 eV per cell

a b c (Å): 4.090 4.090 5.749
angles (deg): 90.00 90.00 90.00
Space group P4/mmm (No. 123)
Inequivalent atoms, fractional coordinates:
Fe 0.000 0.000 0.000 [1 per cell]
Fe 0.000 0.500 0.243 [4 per cell]
Fe 0.500 0.500 0.500 [1 per cell]
Ni 0.500 0.500 0.000 [1 per cell]
Ir 0.000 0.000 0.500 [1 per cell]

=====

Entry 13:
Material: FeNiSbIr
Method: DFT, PBE
State: optimized geometry

Output
* distance to the lowest polymorph of the same formula: 0 meV/atom
* total DFT energy (no corrections): -106.09 eV per cell

a b c (Å): 6.139 6.139 6.139
angles (deg): 90.00 90.00 90.00
Space group F-43m (No. 216)
Inequivalent atoms, fractional coordinates:
Fe 0.000 0.000 0.000 [4 per cell]
Ni 0.250 0.250 0.250 [4 per cell]
Sb 0.250 0.250 0.750 [4 per cell]
Ir 0.000 0.000 0.500 [4 per cell]

=====

Entry 14:
Material: FeNiSnIr
Method: DFT, PBE
State: optimized geometry

Output
* distance to the lowest polymorph of the same formula: 0 meV/atom
* total DFT energy (no corrections): -106.42 eV per cell

a b c (Å): 6.105 6.105 6.105
angles (deg): 90.00 90.00 90.00
Space group F-43m (No. 216)
Inequivalent atoms, fractional coordinates:
Fe 0.000 0.000 0.000 [4 per cell]
Ni 0.000 0.000 0.500 [4 per cell]
Sn 0.250 0.250 0.750 [4 per cell]
Ir 0.250 0.250 0.250 [4 per cell]

=====

Entry 15:
Material: ZnFeNiIr
Method: DFT, PBE
State: optimized geometry

Output
* energy of formation from the pure elements: 6 meV/atom
* distance to the lowest polymorph of the same formula: 0 meV/atom
* total DFT energy (no corrections): -95.89 eV per cell

a b c (Å): 5.893 5.893 5.893
angles (deg): 90.00 90.00 90.00
Space group F-43m (No. 216)
Inequivalent atoms, fractional coordinates:
Zn 0.000 0.000 0.000 [4 per cell]
Fe 0.250 0.250 0.250 [4 per cell]
Ni 0.250 0.250 0.750 [4 per cell]
Ir 0.000 0.000 0.500 [4 per cell]

=====

Entry 16:
Material: ZnFeNiIr
Method: DFT, PBE
State: optimized geometry

Output
* energy of formation from the pure elements: 36 meV/atom
* distance to the lowest polymorph of the same formula: 30 meV/atom
* total DFT energy (no corrections): -95.41 eV per cell

a b c (Å): 5.902 5.902 5.902
angles (deg): 90.00 90.00 90.00
Space group F-43m (No. 216)
Inequivalent atoms, fractional coordinates:
Zn 0.000 0.000 0.000 [4 per cell]
Fe 0.250 0.250 0.250 [4 per cell]
Ni 0.000 0.000 0.500 [4 per cell]
Ir 0.250 0.250 0.750 [4 per cell]

=====

Entry 17:
Material: NpUFeIr
Method: DFT, PBE
State: optimized geometry

Output
* energy of formation from the pure elements: -316 meV/atom
* total DFT energy (no corrections): -169.98 eV per cell

a b c (Å): 6.437 6.437 6.437
angles (deg): 90.00 90.00 90.00
Space group F-43m (No. 216)
Inequivalent atoms, fractional coordinates:
Np 0.000 0.000 0.000 [4 per cell]
U 0.250 0.250 0.750 [4 per cell]
Fe 0.250 0.250 0.250 [4 per cell]
Ir 0.000 0.000 0.500 [4 per cell]

=====

Entry 18:
Material: FeIr2Os
Method: DFT, PBE
State: optimized geometry

Output
* energy of formation from the pure elements: 409 meV/atom
* total DFT energy (no corrections): -142.44 eV per cell

a b c (Å): 6.103 6.103 6.103
angles (deg): 90.00 90.00 90.00
Space group F-43m (No. 216)
Inequivalent atoms, fractional coordinates:
Fe 0.000 0.000 0.000 [4 per cell]
Ir 0.000 0.000 0.500 [4 per cell]
Ir 0.250 0.250 0.250 [4 per cell]
Os 0.250 0.250 0.750 [4 per cell]

=====

Entry 19:
Material: FeIrOsPb
Method: DFT, PBE
State: optimized geometry

Output
* distance to the lowest polymorph of the same formula: 0 meV/atom
* total DFT energy (no corrections): -116.54 eV per cell

a b c (Å): 6.360 6.360 6.360
angles (deg): 90.00 90.00 90.00
Space group F-43m (No. 216)
Inequivalent atoms, fractional coordinates:
Fe 0.000 0.000 0.000 [4 per cell]
Ir 0.250 0.250 0.250 [4 per cell]
Os 0.000 0.000 0.500 [4 per cell]
Pb 0.250 0.250 0.750 [4 per cell]

=====

Entry 20:
Material: FeSbIrOs
Method: DFT, PBE
State: optimized geometry

Output
* distance to the lowest polymorph of the same formula: 0 meV/atom
* total DFT energy (no corrections): -123.24 eV per cell

a b c (Å): 6.273 6.273 6.273
angles (deg): 90.00 90.00 90.00
Space group F-43m (No. 216)
Inequivalent atoms, fractional coordinates:
Fe 0.000 0.000 0.000 [4 per cell]
Sb 0.250 0.250 0.750 [4 per cell]
Ir 0.250 0.250 0.250 [4 per cell]
Os 0.000 0.000 0.500 [4 per cell]